[1]
The following is a PBE calculation of a relaxed TmSc3Te crystal, from Alexandria via LeMat-Bulk.

Computed properties:
- E above lowest polymorph: 0.0 meV/atom
- Size of the total moment: 0.00 μB/f.u.
- V: 24.682 Å³/atom
- Raw formation energy: -31 kJ/mol of atoms
- Raw total energy: -5.64 eV/atom

abc: 8.3053 8.3053 6.0841
angles: 95.39 95.39 36.23
Fractional coordinates of all 10 atoms:
Tm 0.0844 0.0844 0.3829
Tm 0.9156 0.9156 0.6171
Sc 0.1383 0.1383 0.8837
Sc 0.2858 0.2858 0.3591
Sc 0.4690 0.4690 0.2432
Sc 0.5310 0.5310 0.7568
Sc 0.7142 0.7142 0.6409
Sc 0.8617 0.8617 0.1163
Te 0.3324 0.3324 0.8549
Te 0.6676 0.6676 0.1451

---

[2]
The following is a PBE calculation of a relaxed Tm2ScTe crystal, from Alexandria via LeMat-Bulk.

Computed properties:
- E above lowest polymorph: 513.8 meV/atom
- Size of the total moment: 1.28 μB/f.u.
- V: 30.993 Å³/atom
- Raw formation energy: -9 kJ/mol of atoms
- Raw total energy: -4.69 eV/atom

abc: 10.5335 10.5335 10.5335
angles: 20.37 20.37 20.37
Fractional coordinates of all 4 atoms:
Tm 0.0989 0.0989 0.0989
Tm 0.9011 0.9011 0.9011
Sc 0.0000 0.0000 0.0000
Te 0.5000 0.5000 0.5000

---

[3]
The following is a PBE calculation of a relaxed TmSc2Te2 crystal, from Alexandria via LeMat-Bulk.

Computed properties:
- Size of the total moment: 0.00 μB/f.u.
- V: 27.249 Å³/atom
- Raw formation energy: -74 kJ/mol of atoms
- Raw total energy: -5.45 eV/atom

abc: 7.7975 7.7975 5.5446
angles: 110.75 110.75 102.01
Fractional coordinates of all 10 atoms:
Tm 0.0900 0.9100 0.7500
Tm 0.9100 0.0900 0.2500
Sc 0.2188 0.3966 0.0566
Sc 0.3966 0.2188 0.5566
Sc 0.6034 0.7812 0.4434
Sc 0.7812 0.6034 0.9434
Te 0.1994 0.8006 0.2500
Te 0.3824 0.6176 0.7500
Te 0.6176 0.3824 0.2500
Te 0.8006 0.1994 0.7500

---

[4]
The following is a PBE calculation of a relaxed Tm3ScTe6 crystal, from Alexandria via LeMat-Bulk.

Computed properties:
- Size of the total moment: 0.00 μB/f.u.
- V: 34.405 Å³/atom
- Raw formation energy: -121 kJ/mol of atoms
- Raw total energy: -5.12 eV/atom

abc: 8.8286 8.8286 8.8286
angles: 90.38 90.38 90.38
Fractional coordinates of all 20 atoms:
Tm 0.0753 0.5824 0.7427
Tm 0.2573 0.9247 0.4176
Tm 0.4176 0.2573 0.9247
Tm 0.5824 0.7427 0.0753
Tm 0.7427 0.0753 0.5824
Tm 0.9247 0.4176 0.2573
Sc 0.0000 0.0000 0.0000
Sc 0.5000 0.5000 0.5000
Te 0.0415 0.9146 0.6855
Te 0.0854 0.3145 0.9585
Te 0.1906 0.5824 0.4091
Te 0.3145 0.9585 0.0854
Te 0.4091 0.1906 0.5824
Te 0.4176 0.5909 0.8094
Te 0.5824 0.4091 0.1906
Te 0.5909 0.8094 0.4176
Te 0.6855 0.0415 0.9146
Te 0.8094 0.4176 0.5909
Te 0.9146 0.6855 0.0415
Te 0.9585 0.0854 0.3145

---

[5]
The following is a PBE calculation of a relaxed Tm4Sc3Te2 crystal, from Alexandria via LeMat-Bulk.

Computed properties:
- Size of the total moment: 0.00 μB/f.u.
- V: 26.956 Å³/atom
- Raw formation energy: -46 kJ/mol of atoms
- Raw total energy: -5.28 eV/atom

abc: 8.6081 8.6081 9.1632
angles: 121.11 121.11 24.90
Fractional coordinates of all 9 atoms:
Tm 0.0528 0.0528 0.3854
Tm 0.2897 0.2897 0.6747
Tm 0.7103 0.7103 0.3253
Tm 0.9472 0.9472 0.6146
Sc 0.3507 0.3507 0.2426
Sc 0.5000 0.5000 0.0000
Sc 0.6493 0.6493 0.7574
Te 0.1382 0.1382 0.0001
Te 0.8618 0.8618 0.9999

---

[6]
The following is a PBE calculation of a relaxed TmSc2Te crystal, from Alexandria via LeMat-Bulk.

Computed properties:
- E above lowest polymorph: 528.2 meV/atom
- Size of the total moment: 1.26 μB/f.u.
- V: 28.978 Å³/atom
- Raw formation energy: -10 kJ/mol of atoms
- Raw total energy: -5.17 eV/atom

abc: 10.1934 10.1934 10.1934
angles: 20.71 20.71 20.71
Fractional coordinates of all 4 atoms:
Tm 0.0000 0.0000 0.0000
Sc 0.1015 0.1015 0.1015
Sc 0.8985 0.8985 0.8985
Te 0.5000 0.5000 0.5000

---

[7]
The following is a PBE calculation of a relaxed Tm2Sc4Te9 crystal, from Alexandria via LeMat-Bulk.

Computed properties:
- Size of the total moment: 0.00 μB/f.u.
- V: 32.029 Å³/atom
- Raw formation energy: -121 kJ/mol of atoms
- Raw total energy: -5.42 eV/atom

abc: 7.3852 7.3881 20.3322
angles: 90.01 90.02 119.99
Fractional coordinates of all 30 atoms:
Tm 0.0015 0.0002 0.3417
Tm 0.0007 0.9989 0.8416
Tm 0.9985 0.9998 0.6583
Tm 0.9993 0.0011 0.1584
Sc 0.3324 0.6652 0.0050
Sc 0.3325 0.6658 0.8279
Sc 0.3338 0.6673 0.5058
Sc 0.3341 0.6680 0.3271
Sc 0.6659 0.3320 0.6729
Sc 0.6662 0.3327 0.4942
Sc 0.6675 0.3342 0.1721
Sc 0.6676 0.3348 0.9950
Te 0.9996 0.3288 0.2503
Te 0.0004 0.6712 0.7497
Te 0.0113 0.3549 0.9171
Te 0.0137 0.6557 0.4173
Te 0.3278 0.3282 0.7499
Te 0.3295 0.0014 0.2496
Te 0.3443 0.3582 0.4174
Te 0.3448 0.9878 0.9178
Te 0.3560 0.0135 0.5825
Te 0.3560 0.3452 0.0828
Te 0.6440 0.6548 0.9172
Te 0.6440 0.9865 0.4175
Te 0.6552 0.0122 0.0822
Te 0.6557 0.6418 0.5826
Te 0.6705 0.9986 0.7504
Te 0.6722 0.6718 0.2501
Te 0.9863 0.3443 0.5827
Te 0.9887 0.6451 0.0829

---

[8]
The following is a PBE calculation of a relaxed Tm2ScTe crystal, from Alexandria via LeMat-Bulk.

Computed properties:
- E above lowest polymorph: 150.6 meV/atom
- Size of the total moment: 0.00 μB/f.u.
- V: 29.020 Å³/atom
- Raw formation energy: -44 kJ/mol of atoms
- Raw total energy: -5.06 eV/atom

abc: 9.6597 9.6597 9.6597
angles: 22.53 22.53 22.53
Fractional coordinates of all 4 atoms:
Tm 0.0000 0.0000 0.0000
Tm 0.1815 0.1815 0.1815
Sc 0.4236 0.4236 0.4236
Te 0.5907 0.5907 0.5907

---

[9]
The following is a PBE calculation of a relaxed TmSc3Te4 crystal, from Alexandria via LeMat-Bulk.

Computed properties:
- Size of the total moment: 2.07 μB/f.u.
- V: 33.504 Å³/atom
- Raw formation energy: -83 kJ/mol of atoms
- Raw total energy: -5.37 eV/atom

abc: 8.7886 7.7502 7.8701
angles: 90.00 90.00 90.00
Fractional coordinates of all 16 atoms:
Tm 0.0000 0.1130 0.0000
Tm 0.5000 0.8870 0.5000
Sc 0.0000 0.8424 0.3629
Sc 0.1963 0.7084 0.0031
Sc 0.3037 0.2916 0.5031
Sc 0.5000 0.1576 0.8629
Sc 0.6963 0.2916 0.5031
Sc 0.8037 0.7084 0.0031
Te 0.0000 0.2121 0.3684
Te 0.0000 0.8351 0.7400
Te 0.2294 0.3606 0.8539
Te 0.2706 0.6394 0.3539
Te 0.5000 0.1649 0.2400
Te 0.5000 0.7879 0.8684
Te 0.7294 0.6394 0.3539
Te 0.7706 0.3606 0.8539

---

[10]
The following is a PBE calculation of a relaxed Tm6ScTe8 crystal, from Alexandria via LeMat-Bulk.

Computed properties:
- Size of the total moment: 0.00 μB/f.u.
- V: 29.545 Å³/atom
- Raw formation energy: -121 kJ/mol of atoms
- Raw total energy: -5.15 eV/atom

abc: 8.5579 8.5579 8.5579
angles: 60.00 60.00 60.00
Fractional coordinates of all 15 atoms:
Tm 0.0000 0.0000 0.5000
Tm 0.0000 0.5000 0.0000
Tm 0.0000 0.5000 0.5000
Tm 0.5000 0.0000 0.0000
Tm 0.5000 0.0000 0.5000
Tm 0.5000 0.5000 0.0000
Sc 0.0000 0.0000 0.0000
Te 0.2500 0.2500 0.2500
Te 0.2501 0.2501 0.7499
Te 0.2501 0.7499 0.2501
Te 0.2501 0.7499 0.7499
Te 0.7499 0.2501 0.2501
Te 0.7499 0.2501 0.7499
Te 0.7499 0.7499 0.2501
Te 0.7500 0.7500 0.7500

---

[11]
The following is a PBE calculation of a relaxed Tm3ScTe3 crystal, from Alexandria via LeMat-Bulk.

Computed properties:
- E above lowest polymorph: 0.0 meV/atom
- Size of the total moment: 0.00 μB/f.u.
- V: 26.721 Å³/atom
- Raw formation energy: -92 kJ/mol of atoms
- Raw total energy: -5.12 eV/atom

abc: 13.6196 4.0305 13.6298
angles: 90.00 90.00 90.00
Fractional coordinates of all 28 atoms:
Tm 0.0423 0.2500 0.1331
Tm 0.1585 0.7500 0.5190
Tm 0.2369 0.7500 0.8043
Tm 0.2631 0.2500 0.3043
Tm 0.3415 0.2500 0.0190
Tm 0.4577 0.7500 0.6331
Tm 0.5423 0.2500 0.3669
Tm 0.6585 0.7500 0.9810
Tm 0.7369 0.7500 0.6957
Tm 0.7631 0.2500 0.1957
Tm 0.8415 0.2500 0.4810
Tm 0.9577 0.7500 0.8669
Sc 0.0706 0.2500 0.7004
Sc 0.4294 0.7500 0.2004
Sc 0.5706 0.2500 0.7996
Sc 0.9294 0.7500 0.2996
Te 0.0574 0.2500 0.3788
Te 0.1216 0.2500 0.9204
Te 0.2163 0.7500 0.1436
Te 0.2837 0.2500 0.6436
Te 0.3784 0.7500 0.4204
Te 0.4426 0.7500 0.8788
Te 0.5574 0.2500 0.1212
Te 0.6216 0.2500 0.5796
Te 0.7163 0.7500 0.3564
Te 0.7837 0.2500 0.8564
Te 0.8784 0.7500 0.0796
Te 0.9426 0.7500 0.6212

---

[12]
The following is a PBE calculation of a relaxed TmScTe2 crystal, from Alexandria via LeMat-Bulk.

Computed properties:
- E above lowest polymorph: 105.2 meV/atom
- Size of the total moment: 0.00 μB/f.u.
- V: 30.561 Å³/atom
- Raw formation energy: -103 kJ/mol of atoms
- Raw total energy: -5.34 eV/atom

abc: 4.2118 7.2472 8.2740
angles: 90.00 104.53 90.00
Fractional coordinates of all 8 atoms:
Tm 0.1385 0.0000 0.2811
Tm 0.8615 0.5000 0.7189
Sc 0.4678 0.1585 0.9347
Sc 0.5322 0.6585 0.0653
Te 0.0465 0.3696 0.0946
Te 0.2962 0.2494 0.5860
Te 0.7038 0.7494 0.4140
Te 0.9535 0.8696 0.9054